[1]
# Ta2ReN2 (PBE, optimized geometry)
data_Ta2ReN2
_space_group_name_H-M_alt 'I 4/m m m'
_space_group_IT_number 139
_space_group_name_Hall '-I 4 2'
_cell_length_a 4.254
_cell_length_b 4.254
_cell_length_c 7.874
_cell_angle_alpha 90.00
_cell_angle_beta 90.00
_cell_angle_gamma 90.00
loop_
_atom_site_label
_atom_site_fract_x
_atom_site_fract_y
_atom_site_fract_z
_atom_site_occupancy
Ta1 0.000 0.500 0.250 1
Re1 0.000 0.000 0.000 1
N1 0.000 0.000 0.265 1
# * distance to the lowest polymorph of the same formula: 0 meV per atom
# * E: -10.794 eV/atom
# * Fermi-level density of states: 0.92 states/eV/atom
# * magnetic moment: 0.000 μB/atom
# * V: 14.3 A^3/atom


[2]
# Ta2ReN (PBE, optimized geometry)
data_Ta2ReN
_space_group_name_H-M_alt 'I -4 2 d'
_space_group_IT_number 122
_space_group_name_Hall 'I -4 2bw'
_cell_length_a 6.121
_cell_length_b 6.121
_cell_length_c 6.770
_cell_angle_alpha 90.00
_cell_angle_beta 90.00
_cell_angle_gamma 90.00
loop_
_atom_site_label
_atom_site_fract_x
_atom_site_fract_y
_atom_site_fract_z
_atom_site_occupancy
Ta1 0.171 0.750 0.125 1
Re1 0.000 0.000 0.500 1
N1 0.000 0.000 0.000 1
# * E: -11.039 eV/atom
# * Fermi-level density of states: 0.48 states/eV/atom
# * magnetic moment: 0.000 μB/atom
# * V: 15.9 A^3/atom


[3]
# Ta2ReN2 (PBE, optimized geometry)
data_Ta2ReN2
_space_group_name_H-M_alt 'P 4/m b m'
_space_group_IT_number 127
_space_group_name_Hall '-P 4 2ab'
_cell_length_a 6.310
_cell_length_b 6.310
_cell_length_c 2.925
_cell_angle_alpha 90.00
_cell_angle_beta 90.00
_cell_angle_gamma 90.00
loop_
_atom_site_label
_atom_site_fract_x
_atom_site_fract_y
_atom_site_fract_z
_atom_site_occupancy
Ta1 0.159 0.341 0.000 1
Re1 0.000 0.000 0.500 1
N1 0.149 0.649 0.500 1
# * distance to the lowest polymorph of the same formula: 224 meV per atom
# * E: -10.570 eV/atom
# * Fermi-level density of states: 0.52 states/eV/atom
# * magnetic moment: 0.000 μB/atom
# * V: 11.6 A^3/atom


[4]
# Tb2TaReN6 (PBE, optimized geometry)
data_Tb2TaReN6
_space_group_name_H-M_alt 'P 1 21/c 1'
_space_group_IT_number 14
_cell_length_a 5.483
_cell_length_b 5.686
_cell_length_c 9.545
_cell_angle_alpha 90.00
_cell_angle_beta 124.76
_cell_angle_gamma 90.00
loop_
_space_group_symop_operation_xyz
'x,y,z'
'-x,-y,-z'
'-x,y+1/2,-z+1/2'
'x,-y+1/2,z+1/2'
loop_
_atom_site_label
_atom_site_fract_x
_atom_site_fract_y
_atom_site_fract_z
_atom_site_occupancy
Tb1 0.239 0.060 0.250 1
Ta1 0.500 0.000 0.000 1
Re1 0.000 0.000 0.500 1
N1 0.148 0.206 0.951 1
N2 0.245 0.697 0.953 1
N3 0.336 0.023 0.744 1
# * E: -9.290 eV/atom
# * Fermi-level density of states: 0.40 states/eV/atom
# * magnetic moment: 0.000 μB/atom
# * V: 12.2 A^3/atom


[5]
# TaV2ReN (PBE, optimized geometry)
data_TaV2ReN
_space_group_name_H-M_alt 'P 4/m m m'
_space_group_IT_number 123
_space_group_name_Hall '-P 4 2'
_cell_length_a 3.926
_cell_length_b 3.926
_cell_length_c 4.286
_cell_angle_alpha 90.00
_cell_angle_beta 90.00
_cell_angle_gamma 90.00
loop_
_atom_site_label
_atom_site_fract_x
_atom_site_fract_y
_atom_site_fract_z
_atom_site_occupancy
Ta1 0.000 0.000 0.000 1
V1 0.000 0.500 0.500 1
Re1 0.500 0.500 0.000 1
N1 0.000 0.000 0.500 1
# * E: -10.621 eV/atom
# * Fermi-level density of states: 1.07 states/eV/atom
# * magnetic moment: 0.000 μB/atom
# * V: 13.2 A^3/atom


[6]
# Zr2TaReN (PBE, optimized geometry)
data_Zr2TaReN
_space_group_name_H-M_alt 'P 4/m m m'
_space_group_IT_number 123
_space_group_name_Hall '-P 4 2'
_cell_length_a 5.077
_cell_length_b 5.077
_cell_length_c 4.778
_cell_angle_alpha 90.00
_cell_angle_beta 90.00
_cell_angle_gamma 90.00
loop_
_atom_site_label
_atom_site_fract_x
_atom_site_fract_y
_atom_site_fract_z
_atom_site_occupancy
Zr1 0.000 0.500 0.000 1
Ta1 0.000 0.000 0.500 1
Re1 0.000 0.000 0.000 1
N1 0.500 0.500 0.500 1
# * E: -8.193 eV/atom
# * Fermi-level density of states: 1.11 states/eV/atom
# * magnetic moment: 0.011 μB/atom
# * V: 24.6 A^3/atom


Question: Number 4 is which compound?
Answer: Tb2TaReN6